Record 1
A plane-wave DFT calculation with GGA-PBE was carried out for a relaxed structure of Pr4Y3Th2.

Lattice parameters (Å, degrees): 3.613 3.613 27.335 90.00 90.00 120.00
Fractional coordinates of all 9 atoms:
1 Pr 0.000 0.000 0.000
2 Pr 0.000 0.000 0.216
3 Pr 0.333 0.667 0.332
4 Pr 0.333 0.667 0.550
5 Y 0.000 0.000 0.439
6 Y 0.333 0.667 0.107
7 Y 0.333 0.667 0.767
8 Th 0.000 0.000 0.660
9 Th 0.000 0.000 0.874

Computed properties:
ΔE to the lowest computed polymorph in eV/atom: 0.000
Uncorrected energy in eV/atom: -5.85
E_form in kcal/mol of atoms: 1.9
DOS(E_F) in states/eV/atom: 1.8993



Record 2
A plane-wave DFT calculation with GGA-PBE was carried out for a relaxed structure of PrY6Th2.

Lattice parameters (Å, degrees): 9.556 9.556 8.952 103.05 103.05 21.88
Fractional coordinates of all 9 atoms:
1 Pr 0.000 0.000 0.000
2 Y 0.074 0.074 0.664
3 Y 0.258 0.258 0.335
4 Y 0.333 0.333 0.000
5 Y 0.667 0.667 0.000
6 Y 0.742 0.742 0.665
7 Y 0.926 0.926 0.336
8 Th 0.407 0.407 0.664
9 Th 0.593 0.593 0.336

Computed properties:
ΔE to the lowest computed polymorph in eV/atom: 0.000
Uncorrected energy in eV/atom: -6.45
E_form in kcal/mol of atoms: 0.9
DOS(E_F) in states/eV/atom: 1.4720



Record 3
A plane-wave DFT calculation with GGA-PBE was carried out for a relaxed structure of Pr8Y6Th.

Lattice parameters (Å, degrees): 8.845 8.845 8.845 62.84 62.84 62.84
Fractional coordinates of all 15 atoms:
1 Pr 0.078 0.078 0.078
2 Pr 0.215 0.258 0.615
3 Pr 0.258 0.615 0.215
4 Pr 0.385 0.785 0.742
5 Pr 0.615 0.215 0.258
6 Pr 0.742 0.385 0.785
7 Pr 0.785 0.742 0.385
8 Pr 0.922 0.922 0.922
9 Y 0.038 0.750 0.594
10 Y 0.250 0.406 0.962
11 Y 0.406 0.962 0.250
12 Y 0.594 0.038 0.750
13 Y 0.750 0.594 0.038
14 Y 0.962 0.250 0.406
15 Th 0.500 0.500 0.500

Computed properties:
Uncorrected energy in eV/atom: -5.52
E_form in kcal/mol of atoms: 2.6
DOS(E_F) in states/eV/atom: 1.6178



Record 4
A plane-wave DFT calculation with GGA-PBE was carried out for a relaxed structure of PrYTh.

Lattice parameters (Å, degrees): 15.372 3.625 3.625 90.00 90.00 90.00
Fractional coordinates of all 6 atoms:
1 Pr 0.087 0.250 0.750
2 Pr 0.913 0.750 0.250
3 Y 0.260 0.749 0.249
4 Y 0.740 0.249 0.749
5 Th 0.421 0.249 0.749
6 Th 0.579 0.749 0.249

Computed properties:
ΔE to the lowest computed polymorph in eV/atom: 0.000
Uncorrected energy in eV/atom: -6.20
E_form in kcal/mol of atoms: 0.6
DOS(E_F) in states/eV/atom: 1.4972



Record 5
A plane-wave DFT calculation with GGA-PBE was carried out for a relaxed structure of Pr3Y5Th2.

Lattice parameters (Å, degrees): 10.293 10.293 9.003 108.58 108.58 116.16
Fractional coordinates of all 20 atoms:
1 Pr 0.022 0.269 0.040
2 Pr 0.223 0.777 0.750
3 Pr 0.269 0.022 0.540
4 Pr 0.731 0.978 0.460
5 Pr 0.777 0.223 0.250
6 Pr 0.978 0.731 0.960
7 Y 0.031 0.969 0.750
8 Y 0.134 0.366 0.752
9 Y 0.279 0.721 0.250
10 Y 0.366 0.134 0.252
11 Y 0.468 0.532 0.250
12 Y 0.532 0.468 0.750
13 Y 0.634 0.866 0.748
14 Y 0.721 0.279 0.750
15 Y 0.866 0.634 0.248
16 Y 0.969 0.031 0.250
17 Th 0.241 0.484 0.475
18 Th 0.484 0.241 0.975
19 Th 0.516 0.759 0.025
20 Th 0.759 0.516 0.525

Computed properties:
Uncorrected energy in eV/atom: -5.95
E_form in kcal/mol of atoms: 4.6
DOS(E_F) in states/eV/atom: 1.3799



Record 6
A plane-wave DFT calculation with GGA-PBE was carried out for a relaxed structure of PrY6Th.

Lattice parameters (Å, degrees): 6.596 6.822 6.890 61.85 78.39 89.78
Fractional coordinates of all 8 atoms:
1 Pr 0.000 0.000 0.000
2 Y 0.235 0.574 0.516
3 Y 0.254 0.543 0.001
4 Y 0.271 0.091 0.477
5 Y 0.729 0.909 0.523
6 Y 0.746 0.457 0.999
7 Y 0.765 0.426 0.484
8 Th 0.500 0.000 0.000

Computed properties:
ΔE to the lowest computed polymorph in eV/atom: 0.194
Uncorrected energy in eV/atom: -6.15
E_form in kcal/mol of atoms: 5.2
DOS(E_F) in states/eV/atom: 1.9986



Record 7
A plane-wave DFT calculation with GGA-PBE was carried out for a relaxed structure of PrY6Th2.

Lattice parameters (Å, degrees): 3.601 3.601 26.562 90.00 90.00 120.00
Fractional coordinates of all 9 atoms:
1 Pr 0.000 0.000 0.000
2 Y 0.000 0.000 0.220
3 Y 0.000 0.000 0.437
4 Y 0.000 0.000 0.563
5 Y 0.000 0.000 0.780
6 Y 0.333 0.667 0.113
7 Y 0.333 0.667 0.887
8 Th 0.333 0.667 0.331
9 Th 0.333 0.667 0.669

Computed properties:
ΔE to the lowest computed polymorph in eV/atom: 0.036
Uncorrected energy in eV/atom: -6.41
E_form in kcal/mol of atoms: 1.8
DOS(E_F) in states/eV/atom: 2.1298



Record 8
A plane-wave DFT calculation with GGA-PBE was carried out for a relaxed structure of Pr2Y2Th.

Lattice parameters (Å, degrees): 14.879 14.879 14.879 14.03 14.03 14.03
Fractional coordinates of all 5 atoms:
1 Pr 0.201 0.201 0.201
2 Pr 0.799 0.799 0.799
3 Y 0.397 0.397 0.397
4 Y 0.603 0.603 0.603
5 Th 0.000 0.000 0.000

Computed properties:
ΔE to the lowest computed polymorph in eV/atom: 0.000
Uncorrected energy in eV/atom: -5.97
E_form in kcal/mol of atoms: 0.3
DOS(E_F) in states/eV/atom: 1.2250



Record 9
A plane-wave DFT calculation with GGA-PBE was carried out for a relaxed structure of Pr12Y3Th.

Lattice parameters (Å, degrees): 5.208 5.208 20.777 90.00 90.00 90.00
Fractional coordinates of all 16 atoms:
1 Pr 0.000 0.000 0.000
2 Pr 0.000 0.000 0.248
3 Pr 0.000 0.000 0.500
4 Pr 0.000 0.000 0.752
5 Pr 0.000 0.500 0.125
6 Pr 0.000 0.500 0.377
7 Pr 0.000 0.500 0.623
8 Pr 0.000 0.500 0.875
9 Pr 0.500 0.000 0.125
10 Pr 0.500 0.000 0.377
11 Pr 0.500 0.000 0.623
12 Pr 0.500 0.000 0.875
13 Y 0.500 0.500 0.000
14 Y 0.500 0.500 0.250
15 Y 0.500 0.500 0.750
16 Th 0.500 0.500 0.500

Computed properties:
Uncorrected energy in eV/atom: -5.24
E_form in kcal/mol of atoms: 0.6
DOS(E_F) in states/eV/atom: 1.5645



Record 10
A plane-wave DFT calculation with GGA-PBE was carried out for a relaxed structure of Pr4Y15Th.

Lattice parameters (Å, degrees): 5.104 5.104 25.396 90.00 90.00 90.00
Fractional coordinates of all 20 atoms:
1 Pr 0.000 0.000 0.100
2 Pr 0.000 0.000 0.301
3 Pr 0.000 0.000 0.699
4 Pr 0.000 0.000 0.900
5 Y 0.000 0.500 0.000
6 Y 0.000 0.500 0.201
7 Y 0.000 0.500 0.403
8 Y 0.000 0.500 0.597
9 Y 0.000 0.500 0.799
10 Y 0.500 0.000 0.000
11 Y 0.500 0.000 0.201
12 Y 0.500 0.000 0.403
13 Y 0.500 0.000 0.597
14 Y 0.500 0.000 0.799
15 Y 0.500 0.500 0.101
16 Y 0.500 0.500 0.301
17 Y 0.500 0.500 0.500
18 Y 0.500 0.500 0.699
19 Y 0.500 0.500 0.899
20 Th 0.000 0.000 0.500

Computed properties:
Uncorrected energy in eV/atom: -6.15
E_form in kcal/mol of atoms: 0.6
DOS(E_F) in states/eV/atom: 1.5288



Record 11
A plane-wave DFT calculation with GGA-PBE was carried out for a relaxed structure of PrYTh4.

Lattice parameters (Å, degrees): 6.666 6.666 6.666 60.00 60.00 60.00
Fractional coordinates of all 6 atoms:
1 Pr 0.000 0.000 0.000
2 Y 0.250 0.250 0.250
3 Th 0.126 0.625 0.625
4 Th 0.625 0.126 0.625
5 Th 0.625 0.625 0.126
6 Th 0.625 0.625 0.625

Computed properties:
Uncorrected energy in eV/atom: -6.56
E_form in kcal/mol of atoms: 6.0
DOS(E_F) in states/eV/atom: 2.0959



Record 12
A plane-wave DFT calculation with GGA-PBE was carried out for a relaxed structure of Pr5Y2Th.

Lattice parameters (Å, degrees): 9.646 9.646 6.804 109.15 109.15 78.91
Fractional coordinates of all 16 atoms:
1 Pr 0.116 0.632 0.124
2 Pr 0.241 0.759 0.750
3 Pr 0.265 0.276 0.789
4 Pr 0.276 0.265 0.289
5 Pr 0.368 0.884 0.376
6 Pr 0.632 0.116 0.624
7 Pr 0.724 0.735 0.711
8 Pr 0.735 0.724 0.211
9 Pr 0.759 0.241 0.250
10 Pr 0.884 0.368 0.876
11 Y 0.000 0.000 0.000
12 Y 0.000 0.000 0.500
13 Y 0.000 0.500 0.500
14 Y 0.500 0.000 0.000
15 Th 0.493 0.507 0.250
16 Th 0.507 0.493 0.750

Computed properties:
ΔE to the lowest computed polymorph in eV/atom: 0.187
Uncorrected energy in eV/atom: -5.32
E_form in kcal/mol of atoms: 4.9
DOS(E_F) in states/eV/atom: 1.7634



Record 13
A plane-wave DFT calculation with GGA-PBE was carried out for a relaxed structure of Pr8Y5Th.

Lattice parameters (Å, degrees): 7.188 8.800 9.098 114.67 101.48 101.78
Fractional coordinates of all 14 atoms:
1 Pr 0.000 0.000 0.000
2 Pr 0.027 0.826 0.277
3 Pr 0.110 0.559 0.865
4 Pr 0.527 0.837 0.280
5 Pr 0.700 0.122 0.713
6 Pr 0.806 0.678 0.552
7 Pr 0.886 0.402 0.142
8 Pr 0.918 0.241 0.422
9 Y 0.211 0.119 0.711
10 Y 0.310 0.683 0.559
11 Y 0.388 0.409 0.139
12 Y 0.415 0.246 0.420
13 Y 0.600 0.566 0.868
14 Th 0.498 0.003 0.006

Computed properties:
Uncorrected energy in eV/atom: -5.51
E_form in kcal/mol of atoms: 1.3
DOS(E_F) in states/eV/atom: 1.5488



Record 14
A plane-wave DFT calculation with GGA-PBE was carried out for a relaxed structure of Pr12Y6Th.

Lattice parameters (Å, degrees): 8.907 8.907 8.907 98.49 98.49 98.49
Fractional coordinates of all 19 atoms:
1 Pr 0.000 0.262 0.738
2 Pr 0.000 0.738 0.262
3 Pr 0.170 0.585 0.585
4 Pr 0.262 0.000 0.738
5 Pr 0.262 0.738 0.000
6 Pr 0.415 0.415 0.830
7 Pr 0.415 0.830 0.415
8 Pr 0.585 0.170 0.585
9 Pr 0.585 0.585 0.170
10 Pr 0.738 0.000 0.262
11 Pr 0.738 0.262 0.000
12 Pr 0.830 0.415 0.415
13 Y 0.141 0.141 0.404
14 Y 0.141 0.404 0.141
15 Y 0.404 0.141 0.141
16 Y 0.596 0.859 0.859
17 Y 0.859 0.596 0.859
18 Y 0.859 0.859 0.596
19 Th 0.000 0.000 0.000

Computed properties:
Uncorrected energy in eV/atom: -5.33
E_form in kcal/mol of atoms: 2.8
DOS(E_F) in states/eV/atom: 1.4526



Record 15
A plane-wave DFT calculation with GGA-PBE was carried out for a relaxed structure of PrY2Th.

Lattice parameters (Å, degrees): 3.612 3.612 10.184 90.00 90.00 90.00
Fractional coordinates of all 4 atoms:
1 Pr 0.000 0.000 0.000
2 Y 0.500 0.500 0.261
3 Y 0.500 0.500 0.739
4 Th 0.000 0.000 0.500

Computed properties:
ΔE to the lowest computed polymorph in eV/atom: 0.003
Uncorrected energy in eV/atom: -6.26
E_form in kcal/mol of atoms: 0.4
DOS(E_F) in states/eV/atom: 1.1913



Record 16
A plane-wave DFT calculation with GGA-PBE was carried out for a relaxed structure of Pr2Y7Th2.

Lattice parameters (Å, degrees): 8.088 8.088 6.155 105.74 105.74 92.08
Fractional coordinates of all 11 atoms:
1 Pr 0.216 0.784 0.000
2 Pr 0.784 0.216 0.000
3 Y 0.000 0.000 0.500
4 Y 0.067 0.590 0.332
5 Y 0.241 0.241 0.084
6 Y 0.410 0.933 0.668
7 Y 0.590 0.067 0.332
8 Y 0.759 0.759 0.916
9 Y 0.933 0.410 0.668
10 Th 0.413 0.413 0.691
11 Th 0.587 0.587 0.309

Computed properties:
ΔE to the lowest computed polymorph in eV/atom: 0.005
Uncorrected energy in eV/atom: -6.14
E_form in kcal/mol of atoms: 4.4
DOS(E_F) in states/eV/atom: 1.6299



Record 17
A plane-wave DFT calculation with GGA-PBE was carried out for a relaxed structure of Pr6YTh2.

Lattice parameters (Å, degrees): 9.039 9.039 12.412 125.21 125.21 22.52
Fractional coordinates of all 9 atoms:
1 Pr 0.042 0.042 0.256
2 Pr 0.228 0.228 0.613
3 Pr 0.382 0.382 0.944
4 Pr 0.618 0.618 0.056
5 Pr 0.772 0.772 0.387
6 Pr 0.958 0.958 0.744
7 Y 0.000 0.000 0.500
8 Th 0.327 0.327 0.168
9 Th 0.673 0.673 0.832

Computed properties:
Uncorrected energy in eV/atom: -5.43
E_form in kcal/mol of atoms: 2.8
DOS(E_F) in states/eV/atom: 1.4331



Record 18
A plane-wave DFT calculation with GGA-PBE was carried out for a relaxed structure of Pr2Y12Th.

Lattice parameters (Å, degrees): 6.762 6.762 24.924 90.00 90.00 117.22
Fractional coordinates of all 30 atoms:
1 Pr 0.250 0.750 0.236
2 Pr 0.250 0.750 0.771
3 Pr 0.750 0.250 0.229
4 Pr 0.750 0.250 0.764
5 Y 0.001 0.501 0.624
6 Y 0.001 0.999 0.425
7 Y 0.011 0.511 0.085
8 Y 0.015 0.985 0.939
9 Y 0.250 0.250 0.173
10 Y 0.250 0.250 0.302
11 Y 0.250 0.250 0.698
12 Y 0.250 0.250 0.827
13 Y 0.485 0.515 0.939
14 Y 0.489 0.989 0.085
15 Y 0.499 0.501 0.425
16 Y 0.499 0.999 0.624
17 Y 0.501 0.001 0.376
18 Y 0.501 0.499 0.575
19 Y 0.511 0.011 0.915
20 Y 0.515 0.485 0.061
21 Y 0.750 0.750 0.173
22 Y 0.750 0.750 0.302
23 Y 0.750 0.750 0.698
24 Y 0.750 0.750 0.827
25 Y 0.985 0.015 0.061
26 Y 0.989 0.489 0.915
27 Y 0.999 0.001 0.575
28 Y 0.999 0.499 0.376
29 Th 0.250 0.750 0.500
30 Th 0.750 0.250 0.500

Computed properties:
Uncorrected energy in eV/atom: -6.13
E_form in kcal/mol of atoms: 4.0
DOS(E_F) in states/eV/atom: 1.6065



Record 19
A plane-wave DFT calculation with GGA-PBE was carried out for a relaxed structure of Pr2YTh2.

Lattice parameters (Å, degrees): 13.181 13.181 13.181 164.21 164.21 22.40
Fractional coordinates of all 5 atoms:
1 Pr 0.103 0.103 0.000
2 Pr 0.897 0.897 0.000
3 Y 0.500 0.500 0.000
4 Th 0.297 0.297 0.000
5 Th 0.703 0.703 0.000

Computed properties:
Uncorrected energy in eV/atom: -6.13
E_form in kcal/mol of atoms: 0.9
DOS(E_F) in states/eV/atom: 1.6535